# PBE PmPdI, optimized geometry
# Total magnetic moment ... 0.0 μB/cell
# Energy relative to the elements, uncorrected ... -1.05 eV/atom
# Polymorph energy (0 for the lowest one) ... 0.00 kcal/mol of atoms
# Calculated volume ... 603.5 Å³ per cell
# Final energy ... -4.89 eV per atom
data_PmPdI
_space_group_name_H-M_alt 'R -3 m'
_space_group_IT_number 166
_space_group_name_Hall '-R 3 2"'
_cell_length_a 4.3984
_cell_length_b 4.3984
_cell_length_c 36.0236
_cell_angle_alpha 90.00
_cell_angle_beta 90.00
_cell_angle_gamma 120.00
loop_
_atom_site_label
_atom_site_type_symbol
_atom_site_fract_x
_atom_site_fract_y
_atom_site_fract_z
Pm1 Pm 0.0000 0.0000 0.0526
Pd1 Pd 0.0000 0.0000 0.3433
I1 I 0.0000 0.0000 0.2229

# PBE DyH8Rh2Pb, optimized geometry
# Total magnetic moment ... 0.0 μB/cell
# Calculated volume ... 382.3 Å³ per cell
# Final energy ... -4.17 eV per atom
data_DyH8Rh2Pb
_space_group_name_H-M_alt 'R -3 m'
_space_group_IT_number 166
_space_group_name_Hall '-R 3 2"'
_cell_length_a 4.1384
_cell_length_b 4.1384
_cell_length_c 25.7753
_cell_angle_alpha 90.00
_cell_angle_beta 90.00
_cell_angle_gamma 120.00
loop_
_atom_site_label
_atom_site_type_symbol
_atom_site_fract_x
_atom_site_fract_y
_atom_site_fract_z
Dy1 Dy 0.0000 0.0000 0.0000
H1 H 0.0000 0.0000 0.1876
H2 H 0.0408 0.5204 0.0442
Rh1 Rh 0.0000 0.0000 0.2541
Pb1 Pb 0.0000 0.0000 0.5000

# PBE SrCa2ReHg, optimized geometry
# Total magnetic moment ... 0.3 μB/cell
# Calculated volume ... 189.4 Å³ per cell
# ΔE_f ... 2.12 eV per atom
# Final energy ... -1.56 eV per atom
data_SrCa2ReHg
_space_group_name_H-M_alt 'P 4/m m m'
_space_group_IT_number 123
_space_group_name_Hall '-P 4 2'
_cell_length_a 5.926
_cell_length_b 5.926
_cell_length_c 5.394
_cell_angle_alpha 90.00
_cell_angle_beta 90.00
_cell_angle_gamma 90.00
loop_
_atom_site_label
_atom_site_type_symbol
_atom_site_fract_x
_atom_site_fract_y
_atom_site_fract_z
Sr1 Sr 0.000 0.000 0.000
Ca1 Ca 0.000 0.500 0.000
Re1 Re 0.500 0.500 0.500
Hg1 Hg 0.000 0.000 0.500

# PBE BeZn3S, optimized geometry
# Total magnetic moment ... 0.0 μB/cell
# Energy relative to the elements, uncorrected ... 0.81 eV/atom
# Polymorph energy (0 for the lowest one) ... 9.13 kcal/mol of atoms
# Calculated volume ... 102.3 Å³ per cell
# Final energy ... -1.53 eV per atom
data_BeZn3S
_space_group_name_H-M_alt 'P m -3 m'
_space_group_IT_number 221
_space_group_name_Hall '-P 4 2 3'
_cell_length_a 4.677
_cell_length_b 4.677
_cell_length_c 4.677
_cell_angle_alpha 90.00
_cell_angle_beta 90.00
_cell_angle_gamma 90.00
loop_
_atom_site_label
_atom_site_type_symbol
_atom_site_fract_x
_atom_site_fract_y
_atom_site_fract_z
Be1 Be 0.000 0.000 0.000
Zn1 Zn 0.000 0.500 0.500
S1 S 0.500 0.500 0.500

# PBE Cd2InBr5, optimized geometry
# Total magnetic moment ... 0.0 μB/cell
# Energy relative to the elements, uncorrected ... -0.72 eV/atom
# Calculated volume ... 555.2 Å³ per cell
# Final energy ... -2.34 eV per atom
data_Cd2InBr5
_space_group_name_H-M_alt 'C 1 2/m 1'
_space_group_IT_number 12
_cell_length_a 7.101
_cell_length_b 20.401
_cell_length_c 3.984
_cell_angle_alpha 90.00
_cell_angle_beta 105.88
_cell_angle_gamma 90.00
loop_
_space_group_symop_operation_xyz
'x,y,z'
'-x,-y,-z'
'-x,y,-z'
'x,-y,z'
'x+1/2,y+1/2,z'
'-x+1/2,-y+1/2,-z'
'-x+1/2,y+1/2,-z'
'x+1/2,-y+1/2,z'
loop_
_atom_site_label
_atom_site_type_symbol
_atom_site_fract_x
_atom_site_fract_y
_atom_site_fract_z
Cd1 Cd 0.000 0.135 0.000
In1 In 0.000 0.500 0.500
Br1 Br 0.000 0.000 0.000
Br2 Br 0.227 0.351 0.367

# PBE La12Pr5Tm, optimized geometry
# Total magnetic moment ... 0.0 μB/cell
# Calculated volume ... 650.1 Å³ per cell
# ΔE_f ... 0.01 eV per atom
# Final energy ... -4.85 eV per atom
data_La12Pr5Tm
_space_group_name_H-M_alt 'P 1 2/m 1'
_space_group_IT_number 10
_cell_length_a 11.101
_cell_length_b 5.267
_cell_length_c 11.118
_cell_angle_alpha 90.00
_cell_angle_beta 90.22
_cell_angle_gamma 90.00
loop_
_space_group_symop_operation_xyz
'x,y,z'
'-x,-y,-z'
'-x,y,-z'
'x,-y,z'
loop_
_atom_site_label
_atom_site_type_symbol
_atom_site_fract_x
_atom_site_fract_y
_atom_site_fract_z
La1 La 0.000 0.000 0.169
La2 La 0.165 0.500 0.665
La3 La 0.166 0.500 0.999
La4 La 0.331 0.000 0.500
La5 La 0.332 0.000 0.832
La6 La 0.499 0.500 0.666
Pr1 Pr 0.165 0.500 0.334
Pr2 Pr 0.333 0.000 0.167
Pr3 Pr 0.500 0.500 0.000
Tm1 Tm 0.000 0.000 0.500